1.
Here is a relaxed structure of Al2HgGe from Alexandria. Energies are from PBE.

- energy relative to the elements (eV/atom) = 0.138
- density (g/cm³) = 6.53
- size of the total moment (μB per formula unit) = 0.00
- E (eV per atom) = -2.963

a b c (Å): 6.9433 6.9433 6.9433
angles (deg): 31.94 31.94 31.94
Closest atoms and distances in Å follow each position.
Atoms (fractional coordinates):
1 Al 0.2374 0.2374 0.2374  3 Ge 2.61, 3 Hg 2.91
2 Al 0.7626 0.7626 0.7626  3 Ge 2.61, 3 Hg 2.91
3 Hg 0.0000 0.0000 0.0000  6 Al 2.91
4 Ge 0.5000 0.5000 0.5000  6 Al 2.61

2.
Here is a relaxed structure of Cr8C2N from Alexandria. Energies are from PBE.

- raw formation energy (eV/atom) = -0.0623
- density (g/cm³) = 6.74
- size of the total moment (μB per formula unit) = 0.00
- E (eV per atom) = -9.495

a b c (Å): 5.1782 5.1782 4.6329
angles (deg): 104.97 104.97 71.92
Closest atoms and distances in Å follow each position.
Atoms (fractional coordinates):
1 Cr 0.0692 0.0692 0.2781  2 C 2.00-2.06
2 Cr 0.1260 0.5558 0.2776  1 N 1.92, 2 C 2.03-2.09
3 Cr 0.3789 0.3789 0.7813  1 N 1.89, 1 C 2.05
4 Cr 0.4442 0.8740 0.7224  1 N 1.92, 2 C 2.03-2.09
5 Cr 0.5558 0.1260 0.2776  1 N 1.92, 2 C 2.03-2.09
6 Cr 0.6211 0.6211 0.2187  1 N 1.89, 1 C 2.05
7 Cr 0.8740 0.4442 0.7224  1 N 1.92, 2 C 2.03-2.09
8 Cr 0.9308 0.9308 0.7219  2 C 2.00-2.06
9 C 0.1843 0.1843 0.9607  7 Cr 2.00-2.09
10 C 0.8157 0.8157 0.0393  7 Cr 2.00-2.09
11 N 0.5000 0.5000 0.5000  6 Cr 1.89-1.92

3.
Here is a relaxed structure of TiVSb2 from Alexandria. Energies are from PBE.

- raw formation energy (eV/atom) = -0.0452
- relative energy among the computed polymorphs (eV/atom) = 0.005
- density (g/cm³) = 7.41
- size of the total moment (μB per formula unit) = 0.21
- E (eV per atom) = -6.360

a b c (Å): 4.7686 4.7686 4.7686
angles (deg): 60.00 60.00 60.00
Closest atoms and distances in Å follow each position.
Atoms (fractional coordinates):
1 Ti 0.0000 0.0000 0.0000  8 Sb 2.92
2 V 0.5000 0.5000 0.5000  8 Sb 2.92
3 Sb 0.2500 0.2500 0.2500  4 Ti 2.92, 4 V 2.92
4 Sb 0.7500 0.7500 0.7500  4 Ti 2.92, 4 V 2.92

What did the first record say?
Here is a relaxed structure of Al2HgGe from Alexandria. Energies are from PBE.

- energy relative to the elements (eV/atom) = 0.138
- density (g/cm³) = 6.53
- size of the total moment (μB per formula unit) = 0.00
- E (eV per atom) = -2.963

a b c (Å): 6.9433 6.9433 6.9433
angles (deg): 31.94 31.94 31.94
Closest atoms and distances in Å follow each position.
Atoms (fractional coordinates):
1 Al 0.2374 0.2374 0.2374  3 Ge 2.61, 3 Hg 2.91
2 Al 0.7626 0.7626 0.7626  3 Ge 2.61, 3 Hg 2.91
3 Hg 0.0000 0.0000 0.0000  6 Al 2.91
4 Ge 0.5000 0.5000 0.5000  6 Al 2.61